(1)
## AsRuRh2 (PBE-GGA)

Data for an optimized crystal structure of AsRuRh2.

```
data_AsRuRh2
_cell_length_a 2.823
_cell_length_b 3.787
_cell_length_c 5.449
_cell_angle_alpha 90.00
_cell_angle_beta 90.00
_cell_angle_gamma 90.00
_symmetry_space_group_name_H-M 'P m m m'
_symmetry_Int_Tables_number 47
_symmetry_space_group_name_Hall '-P 2 2'
loop_
_atom_site_label
_atom_site_fract_x
_atom_site_fract_y
_atom_site_fract_z
As1 0.000 0.000 0.000
Ru1 0.000 0.000 0.500
Rh1 0.500 0.500 0.258
```

Results
ρ (g cm⁻³): 10.882
Density of states at the Fermi level (states/eV/cell): 3.66
Crystal system: orthorhombic
Energy relative to the elements (meV per atom): 30


(2)
## TaTlCl5 (PBE-GGA)

Data for an optimized crystal structure of TaTlCl5.

```
data_TaTlCl5
_cell_length_a 14.080
_cell_length_b 7.412
_cell_length_c 9.608
_cell_angle_alpha 90.00
_cell_angle_beta 110.17
_cell_angle_gamma 90.00
_symmetry_space_group_name_H-M 'C 1 2/c 1'
_symmetry_Int_Tables_number 15
_symmetry_space_group_name_Hall '-C 2yc'
loop_
_atom_site_label
_atom_site_fract_x
_atom_site_fract_y
_atom_site_fract_z
Ta1 0.000 0.000 0.000
Tl1 0.000 0.469 0.250
Cl1 0.000 0.069 0.750
Cl2 0.124 0.234 0.532
Cl3 0.130 0.221 0.098
```

Results
ρ (g cm⁻³): 3.970
Density of states at the Fermi level (states/eV/cell): 11.06
Crystal system: monoclinic
Formation energy without anion corrections (eV/f.u.): -8.07


(3)
## Tm3Si4Au7 (PBE-GGA)

Data for an optimized crystal structure of Tm3Si4Au7.

```
data_Tm3Si4Au7
_cell_length_a 15.840
_cell_length_b 4.286
_cell_length_c 9.486
_cell_angle_alpha 90.00
_cell_angle_beta 125.69
_cell_angle_gamma 90.00
_symmetry_space_group_name_H-M 'C 1 2/m 1'
_symmetry_Int_Tables_number 12
_symmetry_space_group_name_Hall '-C 2y'
loop_
_atom_site_label
_atom_site_fract_x
_atom_site_fract_y
_atom_site_fract_z
Tm1 0.000 0.000 0.000
Tm2 0.186 0.500 0.684
Si1 0.119 0.000 0.837
Si2 0.164 0.500 0.276
Au1 0.000 0.000 0.500
Au2 0.005 0.500 0.289
Au3 0.158 0.000 0.413
Au4 0.185 0.500 0.039
```

Results
ρ (g cm⁻³): 12.685
Density of states at the Fermi level (states/eV/cell): 9.97
Crystal system: monoclinic
Formation energy without anion corrections (eV/f.u.): -7.82


(4)
## Cs2BIr (PBE-GGA)

Data for an optimized crystal structure of Cs2BIr.

```
data_Cs2BIr
_cell_length_a 8.122
_cell_length_b 8.122
_cell_length_c 8.122
_cell_angle_alpha 90.00
_cell_angle_beta 90.00
_cell_angle_gamma 90.00
_symmetry_space_group_name_H-M 'F m -3 m'
_symmetry_Int_Tables_number 225
_symmetry_space_group_name_Hall '-F 4 2 3'
loop_
_atom_site_label
_atom_site_fract_x
_atom_site_fract_y
_atom_site_fract_z
Cs1 0.250 0.250 0.250
B1 0.000 0.000 0.000
Ir1 0.000 0.000 0.500
```

Results
ρ (g cm⁻³): 5.812
Density of states at the Fermi level (states/eV/cell): 8.99
Crystal system: cubic
Energy relative to the elements (meV per atom): 1887
Offset from the most stable computed form (meV/atom): 1437


(5)
## CsYAs2Br (PBE-GGA)

Data for an optimized crystal structure of CsYAs2Br.

```
data_CsYAs2Br
_cell_length_a 5.602
_cell_length_b 5.602
_cell_length_c 5.968
_cell_angle_alpha 90.00
_cell_angle_beta 90.00
_cell_angle_gamma 90.00
_symmetry_space_group_name_H-M 'P 4/m m m'
_symmetry_Int_Tables_number 123
_symmetry_space_group_name_Hall '-P 4 2'
loop_
_atom_site_label
_atom_site_fract_x
_atom_site_fract_y
_atom_site_fract_z
Cs1 0.000 0.000 0.000
Y1 0.500 0.500 0.500
As1 0.000 0.500 0.000
Br1 0.000 0.000 0.500
```

Results
ρ (g cm⁻³): 4.003
Density of states at the Fermi level (states/eV/cell): 6.12
Crystal system: tetragonal
Formation energy without anion corrections (eV/f.u.): 3.72
Offset from the most stable computed form (meV/atom): 1409


(6)
## HoThMg2 (PBE-GGA)

Data for an optimized crystal structure of HoThMg2.

```
data_HoThMg2
_cell_length_a 3.3965
_cell_length_b 3.3965
_cell_length_c 34.0650
_cell_angle_alpha 90.00
_cell_angle_beta 90.00
_cell_angle_gamma 120.00
_symmetry_space_group_name_H-M 'R -3 m'
_symmetry_Int_Tables_number 166
_symmetry_space_group_name_Hall '-R 3 2"'
loop_
_atom_site_label
_atom_site_fract_x
_atom_site_fract_y
_atom_site_fract_z
Ho1 0.0000 0.0000 0.0000
Th1 0.0000 0.0000 0.5000
Mg1 0.0000 0.0000 0.2521
```

Results
ρ (g cm⁻³): 6.522
Density of states at the Fermi level (states/eV/cell): 13.54
Crystal system: trigonal
Energy relative to the elements (meV per atom): 77
Offset from the most stable computed form (meV/atom): 72


(7)
## NpNi3H (PBE-GGA)

Data for an optimized crystal structure of NpNi3H.

```
data_NpNi3H
_cell_length_a 3.914
_cell_length_b 3.914
_cell_length_c 3.914
_cell_angle_alpha 90.00
_cell_angle_beta 90.00
_cell_angle_gamma 90.00
_symmetry_space_group_name_H-M 'P m -3 m'
_symmetry_Int_Tables_number 221
_symmetry_space_group_name_Hall '-P 4 2 3'
loop_
_atom_site_label
_atom_site_fract_x
_atom_site_fract_y
_atom_site_fract_z
Np1 0.000 0.000 0.000
Ni1 0.000 0.500 0.500
H1 0.500 0.500 0.500
```

Results
ρ (g cm⁻³): 11.471
Density of states at the Fermi level (states/eV/cell): 7.35
Uncorrected energy (eV per cell): -33.0
Crystal system: cubic


(8)
## K2SrRu (PBE-GGA)

Data for an optimized crystal structure of K2SrRu.

```
data_K2SrRu
_cell_length_a 5.767
_cell_length_b 5.767
_cell_length_c 8.172
_cell_angle_alpha 90.00
_cell_angle_beta 90.00
_cell_angle_gamma 90.00
_symmetry_space_group_name_H-M 'I -4 m 2'
_symmetry_Int_Tables_number 119
_symmetry_space_group_name_Hall 'I -4 -2'
loop_
_atom_site_label
_atom_site_fract_x
_atom_site_fract_y
_atom_site_fract_z
K1 0.000 0.000 0.000
K2 0.000 0.500 0.250
Sr1 0.000 0.000 0.500
Ru1 0.000 0.500 0.750
```

Results
ρ (g cm⁻³): 3.261
Density of states at the Fermi level (states/eV/cell): 17.25
Crystal system: tetragonal
Energy relative to the elements (meV per atom): 892
Offset from the most stable computed form (meV/atom): 252